## Ac3MnSb (PBE)

Data for a geometry-optimized Ac3MnSb structure.

Lattice parameters (Å, degrees): 5.4755 5.4755 5.4755 90.00 90.00 90.00
With the nearest neighbours (Å) after each atom.
Fractional coordinates of all 5 atoms:
Ac (0.0000, 0.0000, 0.5000)  2 Mn 2.74
Ac (0.0000, 0.5000, 0.0000)  2 Mn 2.74
Ac (0.5000, 0.0000, 0.0000)  2 Mn 2.74
Mn (0.0000, 0.0000, 0.0000)  6 Ac 2.74
Sb (0.5000, 0.5000, 0.5000)  12 Ac 3.87

Spin magnetization ... 0.124 μB/atom
Space group ... Pm-3m, No. 221
Volume ... 32.83 Å³/atom
Formation energy from raw total energies ... -0.20 eV per atom